TlAgF3: relaxed, PBE-GGA.

abc: 4.5791 4.7595 4.7595
angles: 98.62 90.00 90.00
Atoms (fractional coordinates):
F 0.5000 0.6447 0.7877
F 0.5000 0.2123 0.3553
F 0.0000 0.1459 0.8541
Tl 0.5000 0.1379 0.8621
Ag 0.0000 0.4872 0.5128

The calculated volume is 20.51 A^3/atom. For the uncorrected formation energy, the calculation gives -1.36 eV/atom. The density of states at the Fermi level is 0.95 states/eV per cell. The energy above the most stable polymorph in this dataset comes out at 147 meV/atom. For the calculated density, the calculation gives 6.0 g/cm³.